This record from Alexandria via LeMat-Bulk describes an optimized crystal structure of ErAl2Au4. The functional is PBE.

## Properties
SG: No. 62
Total energy in eV per atom: -4.180
Formation energy from the elements in eV/atom: -0.59

Cell lengths 17.371, 4.464, 6.858 Å; angles 90.00, 90.00, 90.00 degrees
Atoms (fractional coordinates):
Er 0.142 0.250 0.025
Er 0.358 0.750 0.525
Er 0.642 0.250 0.475
Er 0.858 0.750 0.975
Al 0.036 0.750 0.260
Al 0.216 0.250 0.540
Al 0.284 0.750 0.040
Al 0.464 0.250 0.760
Al 0.536 0.750 0.240
Al 0.716 0.250 0.960
Al 0.784 0.750 0.460
Al 0.964 0.250 0.740
Au 0.034 0.750 0.872
Au 0.071 0.250 0.473
Au 0.185 0.750 0.323
Au 0.192 0.750 0.748
Au 0.308 0.250 0.248
Au 0.315 0.250 0.823
Au 0.429 0.750 0.973
Au 0.466 0.250 0.372
Au 0.534 0.750 0.628
Au 0.571 0.250 0.027
Au 0.685 0.750 0.177
Au 0.692 0.750 0.752
Au 0.808 0.250 0.252
Au 0.815 0.250 0.677
Au 0.929 0.750 0.527
Au 0.966 0.250 0.128

***

This record from Alexandria via LeMat-Bulk describes an optimized crystal structure of Fe2AgPb. The functional is PBE.

## Properties
SG: No. 122
Total energy in eV per atom: -5.105
Formation energy from the elements in eV/atom: 0.77

Cell lengths 10.052, 10.052, 10.052 Å; angles 157.33, 157.33, 32.28 degrees
Atoms (fractional coordinates):
Fe 0.124 0.625 0.999
Fe 0.375 0.374 0.499
Fe 0.626 0.125 0.001
Fe 0.875 0.876 0.501
Ag 0.250 0.750 0.500
Ag 0.500 0.500 0.000
Pb 0.000 0.000 0.000
Pb 0.750 0.250 0.500

***

This record from Alexandria via LeMat-Bulk describes an optimized crystal structure of TiMnCo2S. The functional is PBE.

## Properties
SG: No. 123
Formation energy (no corrections) in eV per atom: 0.63
Total energy in eV per atom: -6.452

Cell lengths 4.207, 4.207, 4.172 Å; angles 90.00, 90.00, 90.00 degrees
Atoms (fractional coordinates):
Ti 0.000 0.000 0.000
Mn 0.500 0.500 0.500
Co 0.000 0.500 0.500
Co 0.500 0.000 0.500
S 0.500 0.500 0.000

***

This record from Alexandria via LeMat-Bulk describes an optimized crystal structure of Cu4Ag. The functional is PBE.

## Properties
SG: No. 139
Energy above the lowest structure with this stoichiometry in eV per atom: 0.163
Total energy in eV per atom: -3.612
Formation energy from the elements in eV/atom: 0.24

Cell lengths 6.424, 6.424, 6.424 Å; angles 148.69, 148.69, 44.86 degrees
Atoms (fractional coordinates):
Cu 0.102 0.102 0.000
Cu 0.250 0.750 0.500
Cu 0.750 0.250 0.500
Cu 0.898 0.898 0.000
Ag 0.500 0.500 0.000

***

This record from Alexandria via LeMat-Bulk describes an optimized crystal structure of CsGeTePHC. The functional is PBE.

## Properties
SG: No. 1
Energy above the lowest structure with this stoichiometry in eV per atom: 0.045
Total energy in eV per atom: -4.256

Cell lengths 4.946, 5.969, 7.087 Å; angles 71.22, 82.81, 89.66 degrees
Atoms (fractional coordinates):
Cs 0.000 0.000 0.000
Ge 0.633 0.645 0.579
Te 0.504 0.514 0.960
P 0.264 0.453 0.435
H 0.596 0.910 0.461
C 0.995 0.576 0.502

***

This record from Alexandria via LeMat-Bulk describes an optimized crystal structure of Ta4CrCl. The functional is PBE.

## Properties
SG: No. 216
Formation energy (no corrections) in eV per atom: 0.95
Total energy in eV per atom: -8.865

Cell lengths 5.517, 5.517, 5.517 Å; angles 60.00, 60.00, 60.00 degrees
Atoms (fractional coordinates):
Ta 0.377 0.377 0.377
Ta 0.377 0.377 0.869
Ta 0.377 0.869 0.377
Ta 0.869 0.377 0.377
Cr 0.750 0.750 0.750
Cl 0.000 0.000 0.000

***

This record from Alexandria via LeMat-Bulk describes an optimized crystal structure of Hg2TeRh. The functional is PBE.

## Properties
SG: No. 225
Energy above the lowest structure with this stoichiometry in eV per atom: 0.544
Formation energy (no corrections) in eV per atom: 0.46
Total energy in eV per atom: -2.317

Cell lengths 4.984, 4.984, 4.984 Å; angles 60.00, 60.00, 60.00 degrees
Atoms (fractional coordinates):
Hg 0.250 0.250 0.250
Hg 0.750 0.750 0.750
Te 0.000 0.000 0.000
Rh 0.500 0.500 0.500

***

This record from Alexandria via LeMat-Bulk describes an optimized crystal structure of KB3H12. The functional is PBE.

## Properties
SG: No. 161
Total energy in eV per atom: -3.792

Cell lengths 6.244, 6.244, 6.244 Å; angles 89.95, 89.95, 89.95 degrees
Atoms (fractional coordinates):
K 0.000 0.000 0.000
K 0.500 0.500 0.500
B 0.025 0.306 0.528
B 0.028 0.806 0.525
B 0.306 0.528 0.025
B 0.525 0.028 0.806
B 0.528 0.025 0.306
B 0.806 0.525 0.028
H 0.018 0.554 0.519
H 0.019 0.054 0.518
H 0.054 0.518 0.019
H 0.077 0.308 0.342
H 0.080 0.800 0.341
H 0.158 0.304 0.668
H 0.168 0.804 0.658
H 0.300 0.580 0.841
H 0.304 0.668 0.158
H 0.308 0.342 0.077
H 0.341 0.080 0.800
H 0.342 0.077 0.308
H 0.518 0.019 0.054
H 0.519 0.018 0.554
H 0.554 0.519 0.018
H 0.577 0.842 0.808
H 0.580 0.841 0.300
H 0.658 0.168 0.804
H 0.668 0.158 0.304
H 0.800 0.341 0.080
H 0.804 0.658 0.168
H 0.808 0.577 0.842
H 0.841 0.300 0.580
H 0.842 0.808 0.577

***

This record from Alexandria via LeMat-Bulk describes an optimized crystal structure of Hf2Sc2Ni. The functional is PBE.

## Properties
SG: No. 127
Energy above the lowest structure with this stoichiometry in eV per atom: 0.000
Total energy in eV per atom: -7.620
Formation energy from the elements in eV/atom: 0.05

Cell lengths 6.598, 6.598, 4.954 Å; angles 90.00, 90.00, 90.00 degrees
Atoms (fractional coordinates):
Hf 0.153 0.347 0.000
Hf 0.347 0.847 0.000
Hf 0.653 0.153 0.000
Hf 0.847 0.653 0.000
Sc 0.161 0.661 0.500
Sc 0.339 0.161 0.500
Sc 0.661 0.839 0.500
Sc 0.839 0.339 0.500
Ni 0.000 0.000 0.000
Ni 0.500 0.500 0.000

***

This record from Alexandria via LeMat-Bulk describes an optimized crystal structure of Ho2TcGe2. The functional is PBE.

## Properties
SG: No. 12
Energy above the lowest structure with this stoichiometry in eV per atom: 0.000
Total energy in eV per atom: -6.440
Formation energy from the elements in eV/atom: -0.69

Cell lengths 5.872, 5.872, 10.219 Å; angles 116.05, 116.05, 42.19 degrees
Atoms (fractional coordinates):
Ho 0.003 0.003 0.175
Ho 0.185 0.185 0.612
Ho 0.815 0.815 0.388
Ho 0.997 0.997 0.825
Tc 0.275 0.275 0.132
Tc 0.725 0.725 0.868
Ge 0.359 0.359 0.937
Ge 0.490 0.490 0.623
Ge 0.510 0.510 0.377
Ge 0.641 0.641 0.063

***

This record from Alexandria via LeMat-Bulk describes an optimized crystal structure of Rh2AuCN. The functional is PBE.

## Properties
SG: No. 123
Formation energy (no corrections) in eV per atom: 1.43
Total energy in eV per atom: -5.681

Cell lengths 4.012, 4.012, 4.270 Å; angles 90.00, 90.00, 90.00 degrees
Atoms (fractional coordinates):
Rh 0.000 0.500 0.000
Rh 0.500 0.000 0.000
Au 0.000 0.000 0.500
C 0.000 0.000 0.000
N 0.500 0.500 0.500

***

This record from Alexandria via LeMat-Bulk describes an optimized crystal structure of NaCaAcPb. The functional is PBE.

## Properties
SG: No. 216
Total energy in eV per atom: -3.045
Formation energy from the elements in eV/atom: -0.26

Cell lengths 5.778, 5.778, 5.778 Å; angles 60.00, 60.00, 60.00 degrees
Atoms (fractional coordinates):
Na 0.000 0.000 0.000
Ca 0.750 0.750 0.750
Ac 0.250 0.250 0.250
Pb 0.500 0.500 0.500

***

This record from Alexandria via LeMat-Bulk describes an optimized crystal structure of NaAcPrSc. The functional is PBE.

## Properties
SG: No. 216
Total energy in eV per atom: -3.887
Formation energy from the elements in eV/atom: 0.25

Cell lengths 5.790, 5.790, 5.790 Å; angles 60.00, 60.00, 60.00 degrees
Atoms (fractional coordinates):
Na 0.000 0.000 0.000
Ac 0.250 0.250 0.250
Pr 0.750 0.750 0.750
Sc 0.500 0.500 0.500

***

This record from Alexandria via LeMat-Bulk describes an optimized crystal structure of Li8TbO6. The functional is PBE.

## Properties
SG: No. 148
Formation energy (no corrections) in eV per atom: -2.00
Total energy in eV per atom: -5.310

Cell lengths 6.307, 6.307, 6.307 Å; angles 53.14, 53.14, 53.14 degrees
Atoms (fractional coordinates):
Li 0.007 0.398 0.726
Li 0.146 0.146 0.146
Li 0.274 0.993 0.602
Li 0.398 0.726 0.007
Li 0.602 0.274 0.993
Li 0.726 0.007 0.398
Li 0.854 0.854 0.854
Li 0.993 0.602 0.274
Tb 0.500 0.500 0.500
O 0.102 0.743 0.398
O 0.257 0.602 0.898
O 0.398 0.102 0.743
O 0.602 0.898 0.257
O 0.743 0.398 0.102
O 0.898 0.257 0.602

***

This record from Alexandria via LeMat-Bulk describes an optimized crystal structure of Tl5In5Hg. The functional is PBE.

## Properties
SG: No. 187
Energy above the lowest structure with this stoichiometry in eV per atom: 0.024
Total energy in eV per atom: -2.271
Formation energy from the elements in eV/atom: 0.08

Cell lengths 6.090, 6.090, 10.986 Å; angles 90.00, 90.00, 120.00 degrees
Atoms (fractional coordinates):
Tl 0.000 0.000 0.000
Tl 0.333 0.667 0.321
Tl 0.333 0.667 0.679
Tl 0.667 0.333 0.205
Tl 0.667 0.333 0.795
In 0.000 0.000 0.271
In 0.000 0.000 0.729
In 0.344 0.172 0.500
In 0.828 0.172 0.500
In 0.828 0.656 0.500
Hg 0.333 0.667 0.000

***

This record from Alexandria via LeMat-Bulk describes an optimized crystal structure of In2HgMo. The functional is PBE.

## Properties
SG: No. 123
Total energy in eV per atom: -3.746
Formation energy from the elements in eV/atom: 0.41

Cell lengths 5.280, 5.280, 3.005 Å; angles 90.00, 90.00, 90.00 degrees
Atoms (fractional coordinates):
In 0.000 0.500 0.000
In 0.500 0.000 0.000
Hg 0.000 0.000 0.500
Mo 0.500 0.500 0.500

***

This record from Alexandria via LeMat-Bulk describes an optimized crystal structure of Rb3ZrTe6Pb2. The functional is PBE.

## Properties
SG: No. 12
Formation energy (no corrections) in eV per atom: -0.76
Total energy in eV per atom: -3.905

Cell lengths 7.943, 7.943, 8.899 Å; angles 98.58, 98.58, 120.00 degrees
Atoms (fractional coordinates):
Rb 0.000 0.000 0.000
Rb 0.325 0.675 0.000
Rb 0.675 0.325 0.000
Zr 0.500 0.500 0.500
Te 0.128 0.435 0.303
Te 0.262 0.262 0.700
Te 0.435 0.128 0.303
Te 0.565 0.872 0.697
Te 0.738 0.738 0.300
Te 0.872 0.565 0.697
Pb 0.165 0.835 0.500
Pb 0.835 0.165 0.500

***

This record from Alexandria via LeMat-Bulk describes an optimized crystal structure of La2PrPuS4. The functional is PBE.

## Properties
SG: No. 10
Formation energy (no corrections) in eV per atom: -2.03
Total energy in eV per atom: -7.718

Cell lengths 7.101, 4.084, 7.112 Å; angles 90.00, 109.29, 90.00 degrees
Atoms (fractional coordinates):
La 0.000 0.000 0.000
La 0.500 0.500 0.000
Pr 0.000 0.500 0.500
Pu 0.500 0.000 0.500
S 0.254 0.000 0.744
S 0.259 0.500 0.261
S 0.741 0.500 0.739
S 0.746 0.000 0.256

***

This record from Alexandria via LeMat-Bulk describes an optimized crystal structure of SmHo2Lu. The functional is PBE.

## Properties
SG: No. 123
Energy above the lowest structure with this stoichiometry in eV per atom: 0.002
Total energy in eV per atom: -4.572
Formation energy from the elements in eV/atom: 0.03

Cell lengths 3.528, 3.528, 10.027 Å; angles 90.00, 90.00, 90.00 degrees
Atoms (fractional coordinates):
Sm 0.000 0.000 0.000
Ho 0.500 0.500 0.255
Ho 0.500 0.500 0.745
Lu 0.000 0.000 0.500

***

This record from Alexandria via LeMat-Bulk describes an optimized crystal structure of SbRu3Br. The functional is PBE.

## Properties
SG: No. 221
Energy above the lowest structure with this stoichiometry in eV per atom: 0.000
Formation energy (no corrections) in eV per atom: 1.40
Total energy in eV per atom: -5.326

Cell lengths 4.619, 4.619, 4.619 Å; angles 90.00, 90.00, 90.00 degrees
Atoms (fractional coordinates):
Sb 0.000 0.000 0.000
Ru 0.000 0.500 0.500
Ru 0.500 0.000 0.500
Ru 0.500 0.500 0.000
Br 0.500 0.500 0.500

***

This record from Alexandria via LeMat-Bulk describes an optimized crystal structure of CaZn2Cl. The functional is PBE.

## Properties
SG: No. 122
Energy above the lowest structure with this stoichiometry in eV per atom: 0.188
Formation energy (no corrections) in eV per atom: -0.51
Total energy in eV per atom: -2.113

Cell lengths 6.710, 6.710, 6.710 Å; angles 99.04, 99.04, 133.29 degrees
Atoms (fractional coordinates):
Ca 0.000 0.000 0.000
Ca 0.750 0.250 0.500
Zn 0.127 0.625 0.002
Zn 0.375 0.377 0.502
Zn 0.623 0.125 0.998
Zn 0.875 0.873 0.498
Cl 0.250 0.750 0.500
Cl 0.500 0.500 0.000

***

This record from Alexandria via LeMat-Bulk describes an optimized crystal structure of SbTeBr2. The functional is PBE.

## Properties
SG: No. 65
Energy above the lowest structure with this stoichiometry in eV per atom: 0.563
Formation energy (no corrections) in eV per atom: 0.27
Total energy in eV per atom: -2.384

Cell lengths 5.868, 5.868, 3.348 Å; angles 90.00, 90.00, 110.40 degrees
Atoms (fractional coordinates):
Sb 0.000 0.000 0.000
Te 0.500 0.500 0.000
Br 0.000 0.500 0.500
Br 0.500 0.000 0.500

***

This record from Alexandria via LeMat-Bulk describes an optimized crystal structure of LaGd2Co. The functional is PBE.

## Properties
SG: No. 123
Energy above the lowest structure with this stoichiometry in eV per atom: 0.000
Total energy in eV per atom: -10.092
Formation energy from the elements in eV/atom: -0.04

Cell lengths 3.456, 3.456, 9.144 Å; angles 90.00, 90.00, 90.00 degrees
Atoms (fractional coordinates):
La 0.000 0.000 0.000
Gd 0.500 0.500 0.323
Gd 0.500 0.500 0.677
Co 0.000 0.000 0.500

***

This record from Alexandria via LeMat-Bulk describes an optimized crystal structure of AlSi2Pt. The functional is PBE.

## Properties
SG: No. 6
Formation energy (no corrections) in eV per atom: -0.25
Total energy in eV per atom: -5.412

Cell lengths 3.454, 3.378, 5.646 Å; angles 90.00, 107.56, 90.00 degrees
Atoms (fractional coordinates):
Al 0.000 0.000 0.000
Si 0.237 0.000 0.481
Si 0.654 0.500 0.311
Pt 0.422 0.500 0.844